# Ni2Ag3RhO6

An optimized crystal structure of Ni2Ag3RhO6 (PBE+U, Alexandria).

It has space group C2/m (No. 12), with a = 5.352 Å, b = 9.005 Å, c = 6.251 Å, α = 90.00°, β = 109.28° and γ = 90.00°. The distinct sites, in fractional coordinates, are Ni at (0.000, 0.166, 0.000), Ag at (0.000, 0.168, 0.500), Ag at (0.000, 0.500, 0.500), Rh at (0.000, 0.500, 0.000), O at (0.101, 0.337, 0.821) and O at (0.110, 0.000, 0.815).

For the total energy, the calculation gives -114.06 eV per cell. Its density of states at the Fermi level is 5.70 states/eV/f.u. The total magnetization is 0.1635 μB/atom.